[1]
DFT (PBE) results for an optimized crystal structure of Mg6ZnCd3.

Summary:
The formation energy comes out at -0.08 eV/atom. The calculation puts the density of states at the Fermi level at 2.8 states/eV/f.u. For the magnetic moment, the calculation gives 0.00 μB per formula unit.

a b c (Å): 5.0035 8.2597 11.0339
angles (deg): 112.94 90.00 90.00
Atoms (fractional coordinates):
Cd1 0.2500 0.3770 0.7726
Cd2 0.2500 0.5466 0.3694
Cd3 0.2500 0.7747 0.9711
Cd4 0.7500 0.2253 0.0289
Cd5 0.7500 0.4534 0.6306
Cd6 0.7500 0.6230 0.2274
Mg1 0.7500 0.1393 0.7090
Mg2 0.2500 0.8607 0.2910
Mg3 0.7500 0.9255 0.1399
Mg4 0.2500 0.6739 0.6654
Mg5 0.2500 0.1556 0.1652
Mg6 0.2500 0.2483 0.4796
Mg7 0.7500 0.5343 0.9299
Mg8 0.7500 0.3261 0.3346
Mg9 0.2500 0.0745 0.8601
Mg10 0.2500 0.4657 0.0701
Mg11 0.7500 0.8444 0.8348
Mg12 0.7500 0.7517 0.5204
Zn1 0.2500 0.9652 0.5745
Zn2 0.7500 0.0348 0.4255

[2]
DFT (PBE) results for an optimized crystal structure of Mg16Zn12Cd.

Summary:
The formation energy comes out at -0.07 eV/atom. The calculation puts the density of states at the Fermi level at 6.7 states/eV/f.u. For the magnetic moment, the calculation gives 0.00 μB per formula unit.

a b c (Å): 8.6585 8.6585 8.9748
angles (deg): 108.26 108.26 107.14
Atoms (fractional coordinates):
Mg1 0.6788 0.0048 0.4019
Mg2 0.3186 0.7024 0.3143
Mg3 0.3062 0.3062 0.7025
Mg4 0.3094 0.6031 0.6090
Mg5 0.3256 0.3256 0.3041
Mg6 0.9989 0.9989 0.0030
Mg7 0.6031 0.3094 0.6090
Mg8 0.6671 0.4088 0.0050
Mg9 0.0046 0.6399 0.0035
Mg10 0.7024 0.3186 0.3143
Mg11 0.0005 0.0005 0.6619
Mg12 0.3999 0.9959 0.6724
Mg13 0.4088 0.6671 0.0050
Mg14 0.6399 0.0046 0.0035
Mg15 0.0048 0.6788 0.4019
Mg16 0.9959 0.3999 0.6724
Zn1 0.8064 0.1871 0.8154
Zn2 0.3533 0.1645 0.9794
Zn3 0.9966 0.1891 0.3622
Zn4 0.3621 0.9850 0.1711
Zn5 0.1645 0.3533 0.9794
Zn6 0.6503 0.6503 0.8427
Zn7 0.1891 0.9966 0.3622
Zn8 0.9850 0.3621 0.1711
Zn9 0.8392 0.6472 0.6559
Zn10 0.6472 0.8392 0.6559
Zn11 0.1871 0.8064 0.8154
Zn12 0.8248 0.8248 0.1822
Cd1 0.6298 0.6298 0.3234

[3]
DFT (PBE) results for an optimized crystal structure of Mg2ZnCd.

Summary:
The formation energy comes out at -0.06 eV/atom. The calculation puts the density of states at the Fermi level at 0.7 states/eV/f.u. The value obtained for the polymorph energy (0 for the lowest one) is 25 meV per atom. For the magnetic moment, the calculation gives 0.00 μB per formula unit.

a b c (Å): 5.5955 5.5955 5.2352
angles (deg): 70.72 70.72 31.71
Atoms (fractional coordinates):
Mg1 0.7665 0.7665 0.6847
Mg2 0.9912 0.9912 0.0503
Zn1 0.5092 0.5092 0.5595
Cd1 0.2331 0.2331 0.2055

[4]
DFT (PBE) results for an optimized crystal structure of Mg2ZnCd.

Summary:
The formation energy comes out at -0.07 eV/atom. The calculation puts the density of states at the Fermi level at 1.4 states/eV/f.u. The value obtained for the polymorph energy (0 for the lowest one) is 17 meV per atom. For the magnetic moment, the calculation gives 0.00 μB per formula unit.

a b c (Å): 5.0003 5.0003 5.0164
angles (deg): 125.80 125.80 80.00
Atoms (fractional coordinates):
Mg1 0.5000 0.5000 0.0000
Mg2 0.0000 0.0000 0.0000
Zn1 0.7500 0.2500 0.5000
Cd1 0.2500 0.7500 0.5000

[5]
DFT (PBE) results for an optimized crystal structure of Mg2Zn15Cd2.

Summary:
The formation energy comes out at 0.00 eV/atom. The calculation puts the density of states at the Fermi level at 5.4 states/eV/f.u. For the magnetic moment, the calculation gives 0.00 μB per formula unit.

a b c (Å): 6.8785 6.8785 6.8785
angles (deg): 83.35 83.35 83.35
Atoms (fractional coordinates):
Mg1 0.6362 0.6362 0.6362
Mg2 0.3638 0.3638 0.3638
Zn1 0.0000 0.6855 0.3145
Zn2 0.6482 0.6482 0.1683
Zn3 0.6482 0.1683 0.6482
Zn4 0.3518 0.3518 0.8317
Zn5 0.6855 0.3145 0.0000
Zn6 0.3518 0.8317 0.3518
Zn7 0.3145 0.6855 0.0000
Zn8 0.3145 0.0000 0.6855
Zn9 0.0000 0.3145 0.6855
Zn10 0.5000 0.0000 0.0000
Zn11 0.0000 0.0000 0.5000
Zn12 0.8317 0.3518 0.3518
Zn13 0.6855 0.0000 0.3145
Zn14 0.1683 0.6482 0.6482
Zn15 0.0000 0.5000 0.0000
Cd1 0.8870 0.8870 0.8870
Cd2 0.1130 0.1130 0.1130

[6]
DFT (PBE) results for an optimized crystal structure of Mg4ZnCd6.

Summary:
The formation energy comes out at 0.01 eV/atom. The calculation puts the density of states at the Fermi level at 3.3 states/eV/f.u. For the magnetic moment, the calculation gives 0.00 μB per formula unit.

a b c (Å): 9.1777 9.1777 9.1777
angles (deg): 50.16 145.12 145.12
Atoms (fractional coordinates):
Cd1 0.5000 0.0000 0.5000
Cd2 0.0000 0.4312 0.8283
Cd3 0.3970 0.5688 0.5688
Cd4 0.0000 0.8283 0.4312
Cd5 0.6030 0.1717 0.1717
Cd6 0.5000 0.5000 0.0000
Mg1 0.5970 0.9892 0.9892
Mg2 0.0000 0.6078 0.0108
Mg3 0.4030 0.3922 0.3922
Mg4 0.0000 0.0108 0.6078
Zn1 0.0000 0.0000 0.0000

[7]
DFT (PBE) results for an optimized crystal structure of Mg12Zr5Cd3.

Summary:
The formation energy comes out at 0.93 eV/atom. The calculation puts the density of states at the Fermi level at 22.0 states/eV/f.u. For the magnetic moment, the calculation gives 2.13 μB per formula unit.

a b c (Å): 14.6549 14.6549 14.6549
angles (deg): 109.47 109.47 109.47
Site moments in Bohr magnetons follow the coordinates.
Atoms (fractional coordinates):
Mg1 0.0625 0.1581 0.4233  0.00
Mg2 0.8419 0.9044 0.2652  0.00
Mg3 0.4044 0.2652 0.3419  0.00
Mg4 0.6392 0.5625 0.9044  0.00
Mg5 0.2652 0.4044 0.8419  0.00
Mg6 0.1581 0.0625 0.9233  0.00
Mg7 0.8608 0.2652 0.4233  0.00
Mg8 0.7652 0.4233 0.3608  0.00
Mg9 0.2348 0.5767 0.6392  0.00
Mg10 0.0625 0.9044 0.1392  0.00
Mg11 0.0956 0.9375 0.3608  0.00
Mg12 0.4233 0.7652 0.8608  0.00
Mg13 0.4044 0.1392 0.5625  0.00
Mg14 0.9375 0.0956 0.8608  0.00
Mg15 0.8608 0.5956 0.9375  0.00
Mg16 0.7652 0.3419 0.9044  0.00
Mg17 0.5625 0.6392 0.4044  0.00
Mg18 0.3419 0.7652 0.4044  0.00
Mg19 0.5625 0.9233 0.6581  0.00
Mg20 0.7348 0.5956 0.1581  0.00
Mg21 0.3608 0.4375 0.0956  0.00
Mg22 0.5767 0.2348 0.1392  0.00
Mg23 0.1392 0.7348 0.5767  0.00
Mg24 0.6581 0.4233 0.5625  0.00
Mg25 0.2348 0.6581 0.0956  0.00
Mg26 0.9233 0.5625 0.1581  0.00
Mg27 0.7348 0.1392 0.0767  0.00
Mg28 0.6581 0.2348 0.5956  0.00
Mg29 0.9375 0.8419 0.5767  0.00
Mg30 0.8419 0.9375 0.0767  0.00
Mg31 0.2652 0.8608 0.9233  0.00
Mg32 0.4375 0.3608 0.5956  0.00
Mg33 0.0956 0.1581 0.2348  0.00
Mg34 0.0767 0.4375 0.8419  0.00
Mg35 0.3419 0.5767 0.4375  0.00
Mg36 0.9044 0.0625 0.6392  0.00
Mg37 0.4375 0.0767 0.3419  0.00
Mg38 0.0767 0.6392 0.7348  0.00
Mg39 0.9044 0.8419 0.7652  0.00
Mg40 0.4233 0.6581 0.0625  0.00
Mg41 0.5767 0.3419 0.9375  0.00
Mg42 0.1581 0.0956 0.7348  0.00
Mg43 0.5956 0.7348 0.6581  0.00
Mg44 0.9233 0.3608 0.2652  0.00
Mg45 0.1392 0.4044 0.0625  0.00
Mg46 0.5956 0.8608 0.4375  0.00
Mg47 0.3608 0.9233 0.7652  0.00
Mg48 0.6392 0.0767 0.2348  0.00
Zr1 0.2500 0.8750 0.1250  0.96
Zr2 0.5000 0.5000 0.0000  -0.76
Zr3 0.0000 0.0000 0.5000  -0.76
Zr4 0.3750 0.2500 0.1250  0.96
Zr5 0.7500 0.1250 0.8750  0.96
Zr6 0.6250 0.8750 0.2500  0.96
Zr7 0.0000 0.5000 0.0000  -0.76
Zr8 0.5000 0.0000 0.5000  -0.76
Zr9 0.1250 0.7500 0.3750  0.96
Zr10 0.2500 0.3750 0.6250  0.96
Zr11 0.0000 0.0000 0.0000  -0.76
Zr12 0.5000 0.5000 0.5000  -0.76
Zr13 0.3750 0.1250 0.7500  0.96
Zr14 0.7500 0.6250 0.3750  0.96
Zr15 0.8750 0.2500 0.6250  0.96
Zr16 0.5000 0.0000 0.0000  -0.76
Zr17 0.8750 0.6250 0.7500  0.96
Zr18 0.6250 0.7500 0.8750  0.96
Zr19 0.0000 0.5000 0.5000  -0.76
Zr20 0.1250 0.3750 0.2500  0.96
Cd1 0.6250 0.3750 0.7500  -0.01
Cd2 0.8750 0.7500 0.1250  -0.01
Cd3 0.2500 0.1250 0.3750  -0.01
Cd4 0.3750 0.7500 0.6250  -0.01
Cd5 0.7500 0.8750 0.6250  -0.01
Cd6 0.7500 0.3750 0.1250  -0.01
Cd7 0.3750 0.6250 0.2500  -0.01
Cd8 0.1250 0.8750 0.7500  -0.01
Cd9 0.6250 0.2500 0.3750  -0.01
Cd10 0.8750 0.1250 0.2500  -0.01
Cd11 0.1250 0.2500 0.8750  -0.01
Cd12 0.2500 0.6250 0.8750  -0.01

[8]
DFT (PBE) results for an optimized crystal structure of MgZr2Cd2.

Summary:
The formation energy comes out at 0.02 eV/atom. The calculation puts the density of states at the Fermi level at 4.6 states/eV/f.u. The value obtained for the polymorph energy (0 for the lowest one) is 0 meV per atom. For the magnetic moment, the calculation gives 0.00 μB per formula unit.

a b c (Å): 5.4482 5.5918 4.1960
angles (deg): 68.03 67.11 83.23
Atoms (fractional coordinates):
Zr1 0.2092 0.9245 0.1851
Zr2 0.7908 0.0755 0.8149
Mg1 0.0000 0.5000 0.0000
Cd1 0.3907 0.3174 0.3961
Cd2 0.6093 0.6826 0.6039

[9]
DFT (PBE) results for an optimized crystal structure of Mg3Zr4Cd.

Summary:
The formation energy comes out at -0.07 eV/atom. The calculation puts the density of states at the Fermi level at 5.6 states/eV/f.u. For the magnetic moment, the calculation gives 0.00 μB per formula unit.

a b c (Å): 4.3219 9.5650 8.7544
angles (deg): 90.00 90.00 90.00
Atoms (fractional coordinates):
Zr1 0.0644 0.1191 0.7504
Zr2 0.5644 0.8809 0.7496
Zr3 0.0644 0.8808 0.5000
Zr4 0.0644 0.1191 0.2496
Zr5 0.5644 0.1192 0.0000
Zr6 0.0644 0.8819 0.0000
Zr7 0.5644 0.1181 0.5000
Zr8 0.5644 0.8809 0.2504
Mg1 0.5644 0.6211 0.0000
Mg2 0.0644 0.3789 0.5000
Mg3 0.0644 0.6228 0.7465
Mg4 0.0644 0.6228 0.2535
Mg5 0.5644 0.3772 0.2465
Mg6 0.5644 0.3772 0.7535
Cd1 0.5644 0.6208 0.5000
Cd2 0.0644 0.3792 0.0000

[10]
DFT (PBE) results for an optimized crystal structure of Mg6ZrCd.

Summary:
The formation energy comes out at 0.01 eV/atom. The calculation puts the density of states at the Fermi level at 6.9 states/eV/f.u. The value obtained for the polymorph energy (0 for the lowest one) is 5 meV per atom. For the magnetic moment, the calculation gives 0.43 μB per formula unit.

a b c (Å): 4.4117 4.4117 9.2015
angles (deg): 90.00 90.00 90.00
Site moments in Bohr magnetons follow the coordinates.
Atoms (fractional coordinates):
Mg1 0.0000 0.5000 0.2519  0.00
Mg2 0.0000 0.5000 0.7481  0.00
Mg3 0.5000 0.0000 0.7481  0.00
Mg4 0.5000 0.5000 0.0000  0.00
Mg5 0.5000 0.0000 0.2519  0.00
Mg6 0.5000 0.5000 0.5000  0.01
Cd1 0.0000 0.0000 0.0000  0.00
Zr1 0.0000 0.0000 0.5000  0.19

[11]
DFT (PBE) results for an optimized crystal structure of Mg3ZrCd.

Summary:
The formation energy comes out at 1.08 eV/atom. The calculation puts the density of states at the Fermi level at 6.1 states/eV/f.u. The value obtained for the polymorph energy (0 for the lowest one) is 1092 meV per atom. For the magnetic moment, the calculation gives 3.18 μB per formula unit.

a b c (Å): 5.6798 5.6798 5.6798
angles (deg): 90.00 90.00 90.00
Site moments in Bohr magnetons follow the coordinates.
Atoms (fractional coordinates):
Zr1 0.0000 0.0000 0.0000  1.45
Mg1 0.0000 0.0000 0.5000  0.01
Mg2 0.0000 0.5000 0.0000  0.04
Mg3 0.5000 0.0000 0.0000  0.06
Cd1 0.5000 0.5000 0.5000  -0.01

[12]
DFT (PBE) results for an optimized crystal structure of MgZrCd.

Summary:
The formation energy comes out at -0.02 eV/atom. The calculation puts the density of states at the Fermi level at 2.8 states/eV/f.u. For the magnetic moment, the calculation gives 0.00 μB per formula unit.

a b c (Å): 4.8856 4.8856 3.1463
angles (deg): 90.00 90.00 120.00
Atoms (fractional coordinates):
Mg1 0.6667 0.3333 0.1674
Zr1 0.3333 0.6667 0.6668
Cd1 0.0000 0.0000 0.1657

[13]
DFT (PBE) results for an optimized crystal structure of Mg14ZrCd.

Summary:
The formation energy comes out at -0.01 eV/atom. The calculation puts the density of states at the Fermi level at 6.1 states/eV/f.u. For the magnetic moment, the calculation gives 0.00 μB per formula unit.

a b c (Å): 6.3871 6.3871 10.2134
angles (deg): 90.00 90.00 120.00
Atoms (fractional coordinates):
Mg1 0.5011 0.4989 0.5000
Mg2 0.4966 0.9932 0.0000
Mg3 0.6745 0.8373 0.2478
Mg4 0.1627 0.3255 0.7522
Mg5 0.1627 0.8373 0.2478
Mg6 0.1627 0.3255 0.2478
Mg7 0.4966 0.5034 0.0000
Mg8 0.1627 0.8373 0.7522
Mg9 0.5011 0.0023 0.5000
Mg10 0.6667 0.3333 0.2418
Mg11 0.9977 0.4989 0.5000
Mg12 0.6667 0.3333 0.7582
Mg13 0.0068 0.5034 0.0000
Mg14 0.6745 0.8373 0.7522
Cd1 0.0000 0.0000 0.5000
Zr1 0.0000 0.0000 0.0000

[14]
DFT (PBE) results for an optimized crystal structure of Mg14ZrCd.

Summary:
The formation energy comes out at -0.01 eV/atom. The calculation puts the density of states at the Fermi level at 6.4 states/eV/f.u. For the magnetic moment, the calculation gives 0.00 μB per formula unit.

a b c (Å): 6.4102 6.4102 10.1795
angles (deg): 90.00 90.00 120.44
Atoms (fractional coordinates):
Mg1 0.1618 0.3303 0.2542
Mg2 0.6697 0.8382 0.7458
Mg3 0.6701 0.3299 0.2517
Mg4 0.1690 0.8310 0.7412
Mg5 0.1690 0.8310 0.2588
Mg6 0.1618 0.3303 0.7458
Mg7 0.3351 0.1751 0.5000
Mg8 0.6697 0.8382 0.2542
Mg9 0.3326 0.6674 0.0000
Mg10 0.3318 0.1654 0.0000
Mg11 0.8334 0.1666 0.0000
Mg12 0.8346 0.6682 0.0000
Mg13 0.8249 0.6649 0.5000
Mg14 0.6701 0.3299 0.7483
Cd1 0.3362 0.6638 0.5000
Zr1 0.8301 0.1699 0.5000

[15]
DFT (PBE) results for an optimized crystal structure of Mg6ZrCd.

Summary:
The formation energy comes out at 0.01 eV/atom. The calculation puts the density of states at the Fermi level at 6.1 states/eV/f.u. The value obtained for the polymorph energy (0 for the lowest one) is 1 meV per atom. For the magnetic moment, the calculation gives 0.00 μB per formula unit.

a b c (Å): 6.4707 6.4707 5.0023
angles (deg): 90.00 90.00 121.47
Atoms (fractional coordinates):
Mg1 0.8364 0.6753 0.5000
Mg2 0.6725 0.8280 0.0000
Mg3 0.3247 0.1636 0.5000
Mg4 0.6650 0.3350 0.0000
Mg5 0.8259 0.1741 0.5000
Mg6 0.1720 0.3275 0.0000
Zr1 0.1746 0.8254 0.0000
Cd1 0.3289 0.6711 0.5000

[16]
DFT (PBE) results for an optimized crystal structure of Mg2ZrCd3.

Summary:
The formation energy comes out at -0.12 eV/atom. The calculation puts the density of states at the Fermi level at 2.9 states/eV/f.u. For the magnetic moment, the calculation gives 0.00 μB per formula unit.

a b c (Å): 3.2601 3.2601 12.0615
angles (deg): 90.00 90.00 90.00
Atoms (fractional coordinates):
Cd1 0.0000 0.0000 0.6724
Cd2 0.0000 0.0000 0.0000
Cd3 0.0000 0.0000 0.3276
Mg1 0.5000 0.5000 0.8361
Mg2 0.5000 0.5000 0.1639
Zr1 0.5000 0.5000 0.5000

[17]
DFT (PBE) results for an optimized crystal structure of MgZr2Cd5.

Summary:
The formation energy comes out at -0.12 eV/atom. The calculation puts the density of states at the Fermi level at 5.0 states/eV/f.u. For the magnetic moment, the calculation gives 0.00 μB per formula unit.

a b c (Å): 4.4825 4.4825 9.1184
angles (deg): 104.23 104.23 90.00
Atoms (fractional coordinates):
Cd1 0.8768 0.3768 0.7536
Cd2 0.3768 0.8768 0.7536
Cd3 0.1232 0.6232 0.2464
Cd4 0.6232 0.1232 0.2464
Cd5 0.5000 0.5000 0.0000
Zr1 0.2503 0.2503 0.5006
Zr2 0.7497 0.7497 0.4994
Mg1 0.0000 0.0000 0.0000

[18]
DFT (PBE) results for an optimized crystal structure of MgZrCd.

Summary:
The formation energy comes out at -0.07 eV/atom. The calculation puts the density of states at the Fermi level at 2.2 states/eV/f.u. For the magnetic moment, the calculation gives 0.00 μB per formula unit.

a b c (Å): 13.8232 3.1898 3.1899
angles (deg): 90.00 103.33 76.67
Atoms (fractional coordinates):
Cd1 0.0875 0.5996 0.5508
Cd2 0.6037 0.5850 0.5655
Mg1 0.9311 0.2571 0.8934
Mg2 0.7601 0.9289 0.2216
Zr1 0.2592 0.9280 0.2224
Zr2 0.4320 0.2562 0.8943